First-principles (PBE) data for a relaxed structure of AcNd5SmEr2, as listed in the Alexandria database.

Computed properties:
DOS at the Fermi energy (states/eV/atom): 1.253
Energy relative to the elements (kcal/mol of atoms): 3.32
SG: No. 36

Unit cell a=5.6006 b=12.5008 c=9.5462 alpha=90.00 beta=90.00 gamma=102.94
With the nearest neighbours (Å) after each atom.
Atoms (fractional coordinates):
Ac (0.6025, 0.2051, 0.9253)  5 Nd 3.43-3.75
Ac (0.3975, 0.7949, 0.4253)  5 Nd 3.43-3.75
Nd (0.6050, 0.2099, 0.5323)  4 Nd 3.30-3.66, 4 Er 3.52-3.64
Nd (0.2591, 0.5182, 0.3576)  3 Sm 3.14-3.27, 1 Ac 3.43, 2 Nd 3.52
Nd (0.0083, 0.0166, 0.5353)  2 Er 3.45-3.80, 4 Nd 3.58-3.66
Nd (0.6888, 0.3775, 0.2254)  3 Er 3.40-3.42, 3 Sm 3.47-3.53, 4 Nd 3.52-3.73, 1 Ac 3.55
Nd (0.3112, 0.6225, 0.7254)  3 Er 3.40-3.42, 3 Sm 3.47-3.53, 4 Nd 3.52-3.73, 1 Ac 3.55
Nd (0.7409, 0.4818, 0.8576)  3 Sm 3.14-3.27, 1 Ac 3.43, 2 Nd 3.52
Nd (0.5247, 0.0494, 0.2536)  3 Nd 3.30-3.58, 2 Ac 3.51-3.66, 2 Er 3.53
Nd (0.9917, 0.9834, 0.0353)  2 Er 3.45-3.80, 4 Nd 3.58-3.66
Nd (0.3950, 0.7901, 0.0323)  4 Nd 3.30-3.66, 4 Er 3.52-3.64
Nd (0.4753, 0.9506, 0.7536)  3 Nd 3.30-3.58, 2 Ac 3.51-3.66, 2 Er 3.53
Er (0.8268, 0.6536, 0.1715)  6 Nd 3.40-3.70, 3 Sm 3.78-3.81
Er (0.1732, 0.3464, 0.6715)  6 Nd 3.40-3.70, 3 Sm 3.78-3.81
Er (0.8879, 0.7759, 0.7891)  9 Nd 3.42-3.80
Er (0.1121, 0.2241, 0.2891)  9 Nd 3.42-3.80
Sm (0.2355, 0.4711, 0.0338)  4 Nd 3.14-3.47
Sm (0.7645, 0.5289, 0.5338)  4 Nd 3.14-3.47



First-principles (PBE) data for a relaxed structure of AcNd4Sm2Er, as listed in the Alexandria database.

Computed properties:
DOS at the Fermi energy (states/eV/atom): 2.241
Energy relative to the elements (kcal/mol of atoms): 2.79
SG: No. 47

Unit cell a=6.0794 b=6.0664 c=9.7768 alpha=51.63 beta=90.00 gamma=90.00
With the nearest neighbours (Å) after each atom.
Atoms (fractional coordinates):
Nd (0.5000, 0.7326, 0.2676)  4 Sm 3.52-3.67, 2 Er 3.52, 1 Nd 3.56, 2 Ac 3.66
Nd (0.0000, 0.2325, 0.2675)  2 Er 3.52, 4 Sm 3.52-3.66, 1 Nd 3.56, 2 Ac 3.67
Nd (0.5000, 0.2674, 0.7324)  4 Sm 3.52-3.67, 2 Er 3.52, 1 Nd 3.56, 2 Ac 3.66
Nd (0.0000, 0.7675, 0.7325)  2 Er 3.52, 4 Sm 3.52-3.66, 1 Nd 3.56, 2 Ac 3.67
Er (0.0000, 0.5000, 0.5000)  8 Nd 3.52, 2 Sm 3.83
Sm (0.5000, 0.0000, 0.5000)  8 Nd 3.52, 2 Ac 3.83
Sm (0.0000, 0.0000, 0.0000)  8 Nd 3.66-3.67, 2 Er 3.83
Ac (0.5000, 0.5000, 0.0000)  8 Nd 3.66-3.67, 2 Sm 3.83



First-principles (PBE) data for a relaxed structure of Ac2Nd5SmEr, as listed in the Alexandria database.

Computed properties:
DOS at the Fermi energy (states/eV/atom): 1.408
Energy relative to the elements (kcal/mol of atoms): 3.04
SG: No. 36

Unit cell a=5.8471 b=10.7945 c=11.0287 alpha=90.00 beta=90.00 gamma=105.71
With the nearest neighbours (Å) after each atom.
Atoms (fractional coordinates):
Ac (0.8882, 0.7765, 0.2337)  9 Nd 3.58-3.99, 1 Sm 3.60, 2 Er 3.91
Ac (0.1118, 0.2235, 0.7337)  9 Nd 3.58-3.99, 1 Sm 3.60, 2 Er 3.91
Ac (0.8819, 0.7638, 0.8199)  8 Nd 3.42-3.69
Ac (0.1181, 0.2362, 0.3199)  8 Nd 3.42-3.69
Nd (0.7044, 0.4089, 0.1994)  1 Er 3.48, 3 Nd 3.55-3.89, 3 Sm 3.61-3.87, 3 Ac 3.68-3.84
Nd (0.2825, 0.5650, 0.3070)  1 Er 3.15, 1 Ac 3.42
Nd (0.2956, 0.5911, 0.6994)  1 Er 3.48, 3 Nd 3.55-3.89, 3 Sm 3.61-3.87, 3 Ac 3.68-3.84
Nd (0.7175, 0.4350, 0.8070)  1 Er 3.15, 1 Ac 3.42
Nd (0.4814, 0.9628, 0.7432)  2 Er 3.36-3.41, 2 Nd 3.56-3.60, 2 Ac 3.68
Nd (0.9806, 0.9612, 0.5236)  2 Er 3.35, 3 Ac 3.58-3.73
Nd (0.0194, 0.0388, 0.0236)  2 Er 3.35, 3 Ac 3.58-3.73
Nd (0.6070, 0.2140, 0.5236)  5 Nd 3.56-3.93, 4 Ac 3.69-3.73, 1 Sm 3.89
Nd (0.5186, 0.0372, 0.2432)  2 Er 3.36-3.41, 2 Nd 3.56-3.60, 2 Ac 3.68
Nd (0.3930, 0.7860, 0.0236)  5 Nd 3.56-3.93, 4 Ac 3.69-3.73, 1 Sm 3.89
Sm (0.2061, 0.4123, 0.0074)  2 Ac 3.60-3.90, 8 Nd 3.61-3.89, 2 Er 3.80
Sm (0.7939, 0.5877, 0.5074)  2 Ac 3.60-3.90, 8 Nd 3.61-3.89, 2 Er 3.80
Er (0.5917, 0.1834, 0.9662)  6 Nd 3.15-3.48
Er (0.4083, 0.8166, 0.4662)  6 Nd 3.15-3.48



First-principles (PBE) data for a relaxed structure of Ac2NdSmEr, as listed in the Alexandria database.

Computed properties:
DOS at the Fermi energy (states/eV/atom): 1.316
Energy relative to the elements (kcal/mol of atoms): 5.85
SG: No. 51

Unit cell a=6.8107 b=8.8718 c=6.4778 alpha=90.03 beta=90.00 gamma=90.00
With the nearest neighbours (Å) after each atom.
Atoms (fractional coordinates):
Er (0.0000, 0.0000, 0.0000)  2 Er 3.24, 2 Nd 3.25
Er (0.0000, 0.0000, 0.5000)  2 Er 3.24, 2 Nd 3.25
Sm (0.8169, 0.5000, 0.2500)  8 Ac 3.70-4.03, 2 Sm 4.09
Sm (0.1831, 0.5000, 0.7500)  8 Ac 3.70-4.03, 2 Sm 4.09
Ac (0.7111, 0.7058, 0.7500)  1 Nd 3.30, 2 Er 3.65, 1 Ac 3.65, 1 Sm 3.70
Ac (0.2889, 0.2942, 0.2500)  1 Nd 3.30, 2 Er 3.65, 1 Ac 3.65, 1 Sm 3.70
Ac (0.7111, 0.2942, 0.7500)  1 Nd 3.30, 2 Er 3.65, 1 Ac 3.65, 1 Sm 3.70
Ac (0.2889, 0.7058, 0.2500)  1 Nd 3.30, 2 Er 3.65, 1 Ac 3.65, 1 Sm 3.70
Nd (0.4141, 0.0000, 0.7500)  2 Er 3.25, 2 Ac 3.30, 2 Nd 3.44
Nd (0.5859, 0.0000, 0.2500)  2 Er 3.25, 2 Ac 3.30, 2 Nd 3.44



First-principles (PBE) data for a relaxed structure of AcNd6SmEr2, as listed in the Alexandria database.

Computed properties:
DOS at the Fermi energy (states/eV/atom): 1.431
Energy relative to the elements (kcal/mol of atoms): 2.73
SG: No. 15

Unit cell a=9.8114 b=9.0472 c=9.0472 alpha=117.07 beta=93.17 gamma=93.17
With the nearest neighbours (Å) after each atom.
Atoms (fractional coordinates):
Nd (0.6802, 0.0101, 0.5522)  3 Nd 3.31-3.65, 2 Er 3.52-3.61, 1 Sm 3.54
Nd (0.9454, 0.8843, 0.2464)  7 Nd 3.49-3.90, 1 Er 3.63, 2 Ac 3.82-3.88
Nd (0.6188, 0.4870, 0.7067)  4 Nd 3.31-3.65, 3 Er 3.34-3.52, 2 Sm 3.50-3.65
Nd (0.8198, 0.4478, 0.9899)  3 Nd 3.31-3.65, 2 Er 3.52-3.61, 1 Sm 3.54
Nd (0.1188, 0.7067, 0.4870)  4 Nd 3.31-3.65, 3 Er 3.34-3.52, 2 Sm 3.50-3.65
Nd (0.8812, 0.2933, 0.5130)  4 Nd 3.31-3.65, 3 Er 3.34-3.52, 2 Sm 3.50-3.65
Nd (0.3198, 0.9899, 0.4478)  3 Nd 3.31-3.65, 2 Er 3.52-3.61, 1 Sm 3.54
Nd (0.4454, 0.2464, 0.8843)  7 Nd 3.49-3.90, 1 Er 3.63, 2 Ac 3.82-3.88
Nd (0.0546, 0.1157, 0.7536)  7 Nd 3.49-3.90, 1 Er 3.63, 2 Ac 3.82-3.88
Nd (0.5546, 0.7536, 0.1157)  7 Nd 3.49-3.90, 1 Er 3.63, 2 Ac 3.82-3.88
Nd (0.3812, 0.5130, 0.2933)  4 Nd 3.31-3.65, 3 Er 3.34-3.52, 2 Sm 3.50-3.65
Nd (0.1802, 0.5522, 0.0101)  3 Nd 3.31-3.65, 2 Er 3.52-3.61, 1 Sm 3.54
Sm (0.2500, 0.4103, 0.5897)  6 Nd 3.50-3.65, 2 Er 3.62
Sm (0.7500, 0.5897, 0.4103)  6 Nd 3.50-3.65, 2 Er 3.62
Er (0.5484, 0.2030, 0.3083)  6 Nd 3.34-3.63, 2 Ac 3.53-3.61, 1 Sm 3.62
Er (0.0484, 0.3083, 0.2030)  6 Nd 3.34-3.63, 2 Ac 3.53-3.61, 1 Sm 3.62
Er (0.4516, 0.7970, 0.6917)  6 Nd 3.34-3.63, 2 Ac 3.53-3.61, 1 Sm 3.62
Er (0.9516, 0.6917, 0.7970)  6 Nd 3.34-3.63, 2 Ac 3.53-3.61, 1 Sm 3.62
Ac (0.2500, 0.9685, 0.0315)  4 Er 3.53-3.61, 6 Nd 3.70-3.88
Ac (0.7500, 0.0315, 0.9685)  4 Er 3.53-3.61, 6 Nd 3.70-3.88



First-principles (PBE) data for a relaxed structure of AcNdSm2Er4, as listed in the Alexandria database.

Computed properties:
DOS at the Fermi energy (states/eV/atom): 2.368
Energy relative to the elements (kcal/mol of atoms): 10.01
SG: No. 15

Unit cell a=9.6355 b=9.6355 c=11.9572 alpha=128.35 beta=128.36 gamma=88.45
With the nearest neighbours (Å) after each atom.
Atoms (fractional coordinates):
Ac (0.0000, 0.5000, 0.0000)  2 Sm 3.45, 6 Er 3.47-3.50
Ac (0.0000, 0.5000, 0.5000)  2 Sm 3.45, 6 Er 3.47-3.50
Sm (0.5000, 0.0000, 0.0000)  6 Er 3.25-3.41, 2 Ac 3.45
Sm (0.0000, 0.0000, 0.5000)  6 Er 3.34-3.44, 2 Sm 3.45
Sm (0.5000, 0.5000, 0.0000)  6 Er 3.34-3.44, 2 Sm 3.45
Sm (0.5000, 0.0000, 0.5000)  6 Er 3.25-3.41, 2 Ac 3.45
Er (0.7432, 0.7595, 0.4998)  3 Sm 3.25-3.44, 2 Er 3.46, 2 Nd 3.46-3.47, 1 Ac 3.47
Er (0.2568, 0.2405, 0.5002)  3 Sm 3.25-3.44, 2 Er 3.46, 2 Nd 3.46-3.47, 1 Ac 3.47
Er (0.2595, 0.2432, 0.9998)  3 Sm 3.25-3.44, 2 Er 3.46, 2 Nd 3.46-3.47, 1 Ac 3.47
Er (0.2610, 0.7638, 0.5124)  2 Er 3.28-3.62, 3 Sm 3.34-3.41, 1 Nd 3.38, 2 Ac 3.50
Er (0.7362, 0.2390, 0.9876)  2 Er 3.28-3.62, 3 Sm 3.34-3.41, 1 Nd 3.38, 2 Ac 3.50
Er (0.7405, 0.7568, 0.0002)  3 Sm 3.25-3.44, 2 Er 3.46, 2 Nd 3.46-3.47, 1 Ac 3.47
Er (0.2638, 0.7610, 0.0124)  2 Er 3.28-3.62, 3 Sm 3.34-3.41, 1 Nd 3.38, 2 Ac 3.50
Er (0.7390, 0.2362, 0.4876)  2 Er 3.28-3.62, 3 Sm 3.34-3.41, 1 Nd 3.38, 2 Ac 3.50
Nd (0.0000, 0.0000, 0.0000)  6 Er 3.38-3.47, 2 Nd 3.45
Nd (0.5000, 0.5000, 0.5000)  6 Er 3.38-3.47, 2 Nd 3.45



First-principles (PBE) data for a relaxed structure of AcNd2Sm5Er, as listed in the Alexandria database.

Computed properties:
DOS at the Fermi energy (states/eV/atom): 1.146
Energy relative to the elements (kcal/mol of atoms): 5.97
SG: No. 140

Unit cell a=8.9569 b=8.9569 c=10.1452 alpha=116.20 beta=116.20 gamma=90.00
With the nearest neighbours (Å) after each atom.
Atoms (fractional coordinates):
Ac (0.2500, 0.2500, 0.5000)  10 Sm 3.71-3.96
Ac (0.7500, 0.7500, 0.5000)  10 Sm 3.71-3.96
Er (0.7500, 0.2500, 0.5000)  4 Sm 3.19
Er (0.2500, 0.7500, 0.5000)  4 Sm 3.19
Nd (0.3829, 0.8829, 0.0000)  1 Nd 2.97, 2 Sm 3.09
Nd (0.6171, 0.1171, 0.0000)  1 Nd 2.97, 2 Sm 3.09
Nd (0.1171, 0.3829, 0.0000)  1 Nd 2.97, 2 Sm 3.09
Nd (0.8829, 0.6171, 0.0000)  1 Nd 2.97, 2 Sm 3.09
Sm (0.5000, 0.5000, 0.0000)  4 Nd 3.59, 8 Sm 3.85, 2 Ac 3.96
Sm (0.6606, 0.1606, 0.7326)  1 Nd 3.09, 1 Er 3.19
Sm (0.3394, 0.8394, 0.2674)  1 Nd 3.09, 1 Er 3.19
Sm (0.1606, 0.0720, 0.7326)  1 Nd 3.09, 1 Er 3.19
Sm (0.0720, 0.5720, 0.7326)  1 Nd 3.09, 1 Er 3.19
Sm (0.8394, 0.9280, 0.2674)  1 Nd 3.09, 1 Er 3.19
Sm (0.4280, 0.3394, 0.2674)  1 Nd 3.09, 1 Er 3.19
Sm (0.0000, 0.0000, 0.0000)  4 Nd 3.59, 8 Sm 3.85, 2 Ac 3.96
Sm (0.9280, 0.4280, 0.2674)  1 Nd 3.09, 1 Er 3.19
Sm (0.5720, 0.6606, 0.7326)  1 Nd 3.09, 1 Er 3.19



First-principles (PBE) data for a relaxed structure of AcNdSmEr, as listed in the Alexandria database.

Computed properties:
DOS at the Fermi energy (states/eV/atom): 1.208
Energy relative to the elements (kcal/mol of atoms): 1.19
SG: No. 156

Unit cell a=3.7319 b=3.7319 c=11.9291 alpha=90.00 beta=90.00 gamma=120.00
With the nearest neighbours (Å) after each atom.
Atoms (fractional coordinates):
Ac (0.0000, 0.0000, 0.4297)  3 Er 3.72, 6 Ac 3.73, 3 Nd 3.82
Nd (0.6667, 0.3333, 0.1652)  3 Sm 3.63, 6 Nd 3.73, 3 Ac 3.82
Er (0.6667, 0.3333, 0.6843)  3 Sm 3.54, 3 Ac 3.72, 6 Er 3.73
Sm (0.3333, 0.6667, 0.9200)  3 Er 3.54, 3 Nd 3.63, 6 Sm 3.73



First-principles (PBE) data for a relaxed structure of AcNdSmEr2, as listed in the Alexandria database.

Computed properties:
DOS at the Fermi energy (states/eV/atom): 1.673
Energy relative to the elements (kcal/mol of atoms): 8.33
SG: No. 63

Unit cell a=6.4502 b=6.5718 c=9.3332 alpha=110.61 beta=90.00 gamma=90.00
With the nearest neighbours (Å) after each atom.
Atoms (fractional coordinates):
Ac (0.7500, 0.3432, 0.6863)  1 Nd 3.34, 2 Sm 3.47, 4 Er 3.60
Ac (0.2500, 0.6568, 0.3137)  1 Nd 3.34, 2 Sm 3.47, 4 Er 3.60
Er (0.0000, 0.7566, 0.0000)  4 Er 3.20-3.37, 2 Nd 3.50
Er (0.0000, 0.2434, 0.0000)  4 Er 3.20-3.37, 2 Nd 3.50
Er (0.5000, 0.7566, 0.0000)  4 Er 3.20-3.37, 2 Nd 3.50
Er (0.5000, 0.2434, 0.0000)  4 Er 3.20-3.37, 2 Nd 3.50
Nd (0.7500, 0.1523, 0.3045)  1 Ac 3.34, 2 Sm 3.44, 4 Er 3.50
Nd (0.2500, 0.8477, 0.6955)  1 Ac 3.34, 2 Sm 3.44, 4 Er 3.50
Sm (0.7500, 0.7797, 0.5595)  2 Nd 3.44, 2 Ac 3.47
Sm (0.2500, 0.2203, 0.4405)  2 Nd 3.44, 2 Ac 3.47



First-principles (PBE) data for a relaxed structure of AcNdSm2Er5, as listed in the Alexandria database.

Computed properties:
DOS at the Fermi energy (states/eV/atom): 1.122
Energy relative to the elements (kcal/mol of atoms): 5.82
SG: No. 140

Unit cell a=8.8100 b=8.8100 c=9.9728 alpha=116.21 beta=116.21 gamma=90.00
With the nearest neighbours (Å) after each atom.
Atoms (fractional coordinates):
Er (0.6641, 0.1641, 0.7386)  1 Sm 3.01, 1 Nd 3.16
Er (0.5000, 0.5000, 0.0000)  4 Sm 3.53, 8 Er 3.76, 2 Ac 3.89
Er (0.4255, 0.3359, 0.2614)  1 Sm 3.01, 1 Nd 3.16
Er (0.9255, 0.4255, 0.2614)  1 Sm 3.01, 1 Nd 3.16
Er (0.1641, 0.0745, 0.7386)  1 Sm 3.01, 1 Nd 3.16
Er (0.0000, 0.0000, 0.0000)  4 Sm 3.53, 8 Er 3.76, 2 Ac 3.89
Er (0.8359, 0.9255, 0.2614)  1 Sm 3.01, 1 Nd 3.16
Er (0.3359, 0.8359, 0.2614)  1 Sm 3.01, 1 Nd 3.16
Er (0.0745, 0.5745, 0.7386)  1 Sm 3.01, 1 Nd 3.16
Er (0.5745, 0.6641, 0.7386)  1 Sm 3.01, 1 Nd 3.16
Nd (0.7500, 0.2500, 0.5000)  4 Er 3.16
Nd (0.2500, 0.7500, 0.5000)  4 Er 3.16
Sm (0.1166, 0.3834, 0.0000)  1 Sm 2.91, 2 Er 3.01
Sm (0.3834, 0.8834, 0.0000)  1 Sm 2.91, 2 Er 3.01
Sm (0.6166, 0.1166, 0.0000)  1 Sm 2.91, 2 Er 3.01
Sm (0.8834, 0.6166, 0.0000)  1 Sm 2.91, 2 Er 3.01
Ac (0.2500, 0.2500, 0.5000)  10 Er 3.67-3.89
Ac (0.7500, 0.7500, 0.5000)  10 Er 3.67-3.89



First-principles (PBE) data for a relaxed structure of AcNd3SmEr, as listed in the Alexandria database.

Computed properties:
DOS at the Fermi energy (states/eV/atom): 1.656
Energy relative to the elements (kcal/mol of atoms): 0.84
SG: No. 11

Unit cell a=5.2373 b=8.2592 c=11.0573 alpha=116.34 beta=90.00 gamma=90.00
With the nearest neighbours (Å) after each atom.
Atoms (fractional coordinates):
Nd (0.2500, 0.1321, 0.9598)  3 Sm 3.62-3.68, 1 Er 3.67, 5 Nd 3.68-3.79, 3 Ac 3.73
Nd (0.2500, 0.6197, 0.7926)  1 Er 3.64, 3 Sm 3.64-3.66, 6 Nd 3.67-3.79, 2 Ac 3.75
Nd (0.2500, 0.6265, 0.4534)  1 Sm 3.62, 3 Er 3.65-3.72, 5 Nd 3.67-3.78, 3 Ac 3.72-3.73
Nd (0.7500, 0.3803, 0.2074)  1 Er 3.64, 3 Sm 3.64-3.66, 6 Nd 3.67-3.79, 2 Ac 3.75
Nd (0.7500, 0.8679, 0.0402)  3 Sm 3.62-3.68, 1 Er 3.67, 5 Nd 3.68-3.79, 3 Ac 3.73
Nd (0.7500, 0.3735, 0.5466)  1 Sm 3.62, 3 Er 3.65-3.72, 5 Nd 3.67-3.78, 3 Ac 3.72-3.73
Er (0.2500, 0.1286, 0.6267)  5 Nd 3.64-3.72, 3 Ac 3.66-3.68, 2 Sm 3.69, 2 Er 3.73
Er (0.7500, 0.8714, 0.3733)  5 Nd 3.64-3.72, 3 Ac 3.66-3.68, 2 Sm 3.69, 2 Er 3.73
Ac (0.7500, 0.8774, 0.7065)  3 Er 3.66-3.68, 1 Sm 3.71, 8 Nd 3.72-3.75
Ac (0.2500, 0.1226, 0.2935)  3 Er 3.66-3.68, 1 Sm 3.71, 8 Nd 3.72-3.75
Sm (0.7500, 0.3788, 0.8755)  7 Nd 3.62-3.68, 2 Sm 3.68, 2 Er 3.69, 1 Ac 3.71
Sm (0.2500, 0.6212, 0.1245)  7 Nd 3.62-3.68, 2 Sm 3.68, 2 Er 3.69, 1 Ac 3.71



First-principles (PBE) data for a relaxed structure of SrAcNdEr, as listed in the Alexandria database.

Computed properties:
DOS at the Fermi energy (states/eV/atom): 1.474
Energy relative to the elements (kcal/mol of atoms): 4.32
SG: No. 216

Unit cell a=6.0834 b=6.0834 c=6.0834 alpha=60.00 beta=60.00 gamma=60.00
With the nearest neighbours (Å) after each atom.
Atoms (fractional coordinates):
Er (0.7500, 0.7500, 0.7500)  4 Ac 3.73, 4 Nd 3.73
Sr (0.2500, 0.2500, 0.2500)  4 Ac 3.73, 4 Nd 3.73
Ac (0.0000, 0.0000, 0.0000)  4 Er 3.73, 4 Sr 3.73
Nd (0.5000, 0.5000, 0.5000)  4 Sr 3.73, 4 Er 3.73